Entry 1:
ZnCdCoPb | GGA-PBE | optimized geometry

Summary:
DFT total energy   -2.82 eV/atom
Energy above the lowest structure with this stoichiometry   0.0 meV/atom
Symmetry   F-43m (216)

abc: 4.7189 4.7189 4.7189
angles: 60.00 60.00 60.00
Positions (direct):
Co 0.7500 0.7500 0.7500
Zn 0.2500 0.2500 0.2500
Cd 0.5000 0.5000 0.5000
Pb 0.0000 0.0000 0.0000

---

Entry 2:
ZrCdCoPb | GGA-PBE | optimized geometry

Summary:
DFT total energy   -4.79 eV/atom
Energy above the lowest structure with this stoichiometry   26.2 meV/atom
Symmetry   F-43m (216)

abc: 4.8240 4.8240 4.8240
angles: 60.00 60.00 60.00
Positions (direct):
Cd 0.5000 0.5000 0.5000
Pb 0.0000 0.0000 0.0000
Co 0.7500 0.7500 0.7500
Zr 0.2500 0.2500 0.2500

---

Entry 3:
ZrCdCoPb | GGA-PBE | optimized geometry

Summary:
DFT total energy   -4.82 eV/atom
Energy above the lowest structure with this stoichiometry   0.0 meV/atom
Symmetry   F-43m (216)

abc: 4.7880 4.7880 4.7880
angles: 60.00 60.00 60.00
Site moments in Bohr magnetons follow the coordinates.
Positions (direct):
Co 0.7500 0.7500 0.7500  -0.22
Zr 0.5000 0.5000 0.5000  0.05
Cd 0.2500 0.2500 0.2500  -0.01
Pb 0.0000 0.0000 0.0000  0.00

---

Q: Which value of DFT total energy does entry 2 give?
A: -4.79 eV/atom